AlFeO3: relaxed, GGA+U.

Unit cell a=3.186 b=3.186 c=11.945 alpha=90.00 beta=90.00 gamma=120.00
Element x y z (fractional)
Al 0.000 0.000 0.000
Al 0.000 0.000 0.500
Fe 0.333 0.667 0.250
Fe 0.667 0.333 0.750
O 0.000 0.000 0.250
O 0.000 0.000 0.750
O 0.333 0.667 0.076
O 0.333 0.667 0.424
O 0.667 0.333 0.576
O 0.667 0.333 0.924

As for the total DFT energy (no corrections): -34.24 eV/f.u. The space-group type is No. 194.